1.
Computed, not measured: PuScSnHg after structural relaxation at the PBE level of DFT.

- SG = F-43m (216)
- DFT formation energy (eV/atom) = -0.35

extended XYZ file:
```
4
Lattice="-3.489 -3.850 -0.033 -0.249 -3.314 3.993 -4.056 0.142 3.244" Properties=species:S:1:pos:R:3 pbc="T T T"
Hg -5.845 -5.267 5.403
Pu 0.000 0.000 0.000
Sc -3.897 -3.511 3.602
Sn -1.948 -1.756 1.801
```

2.
Computed, not measured: PuScTlHg after structural relaxation at the PBE level of DFT.

- SG = F-43m (216)
- DFT formation energy (eV/atom) = -0.16

extended XYZ file:
```
4
Lattice="5.224 0.000 0.000 2.612 4.524 0.000 2.612 1.508 4.266" Properties=species:S:1:pos:R:3 pbc="T T T"
Sc 0.000 0.000 0.000
Pu 5.224 3.016 2.133
Hg 2.612 1.508 1.066
Tl 7.836 4.524 3.199
```

Please write out number 2 again, unchanged.
Computed, not measured: PuScTlHg after structural relaxation at the PBE level of DFT.

- SG = F-43m (216)
- DFT formation energy (eV/atom) = -0.16

extended XYZ file:
```
4
Lattice="5.224 0.000 0.000 2.612 4.524 0.000 2.612 1.508 4.266" Properties=species:S:1:pos:R:3 pbc="T T T"
Sc 0.000 0.000 0.000
Pu 5.224 3.016 2.133
Hg 2.612 1.508 1.066
Tl 7.836 4.524 3.199
```

> Look up the DFT formation energy of the first one.

-0.35 eV/atom

> DFT formation energy of number 1 (PuScSnHg)?

-0.35 eV/atom